# 1
The following is a DFT calculation (PBE) of a relaxed TbHo2TmTe5 crystal.

Cell: 5.570 5.570 11.457 Å, 90.00 90.00 90.00°
Each line ends with the local moment (μB).
Fractional coordinates of all 9 atoms:
1 Tb 0.000 0.000 0.500  0.02
2 Ho 0.500 0.500 0.350  0.15
3 Ho 0.500 0.500 0.650  0.15
4 Tm 0.000 0.000 0.000  0.00
5 Te 0.000 0.500 0.500  0.00
6 Te 0.500 0.000 0.500  0.00
7 Te 0.000 0.000 0.756  0.00
8 Te 0.000 0.000 0.244  0.00
9 Te 0.500 0.500 0.000  0.01

The volume comes out at 355 Å³/cell. The calculation puts the magnetization at 0.426 Bohr magnetons per cell. For the calculated density, the calculation gives 6053 kg/m³. As for the raw formation energy: -592 meV per atom.

# 2
The following is a DFT calculation (PBE) of a relaxed LiCaLa3 crystal.

Cell: 5.700 5.700 5.700 Å, 90.00 90.00 90.00°
Fractional coordinates of all 5 atoms:
1 Ca 0.500 0.500 0.500
2 Li 0.000 0.000 0.000
3 La 0.000 0.500 0.000
4 La 0.000 0.000 0.500
5 La 0.500 0.000 0.000

The volume comes out at 185 Å³/cell. The calculation puts the magnetization at 0.000 Bohr magnetons per cell. For the calculated density, the calculation gives 4157 kg/m³. As for the energy relative to the lowest polymorph listed for this composition: 0.00 eV per formula unit. For the energy of formation from the pure elements, the calculation gives 363 meV per atom.

# 3
The following is a DFT calculation (PBE) of a relaxed KNi2Au2 crystal.

Cell: 7.993 7.993 2.763 Å, 90.00 90.00 90.00°
Each line ends with the local moment (μB).
Fractional coordinates of all 10 atoms:
1 Ni 0.392 0.892 0.000  0.44
2 Ni 0.892 0.608 0.000  0.41
3 Ni 0.608 0.108 0.000  0.44
4 Ni 0.108 0.392 0.000  0.41
5 K 0.000 0.000 0.000  0.00
6 K 0.500 0.500 0.000  0.00
7 Au 0.182 0.682 0.500  0.03
8 Au 0.682 0.818 0.500  0.02
9 Au 0.818 0.318 0.500  0.03
10 Au 0.318 0.182 0.500  0.02

The volume comes out at 177 Å³/cell. The calculation puts the magnetization at 1.738 Bohr magnetons per cell. For the calculated density, the calculation gives 10356 kg/m³. As for the energy relative to the lowest polymorph listed for this composition: 0.00 eV per formula unit. For the energy of formation from the pure elements, the calculation gives 135 meV per atom.

# 4
The following is a DFT calculation (PBE) of a relaxed Ce2NpAl crystal.

Cell: 4.356 4.712 4.712 Å, 90.00 90.00 90.00°
Each line ends with the local moment (μB).
Fractional coordinates of all 4 atoms:
1 Np 0.500 0.500 0.500  3.98
2 Al 0.500 0.000 0.000  -0.02
3 Ce 0.000 0.000 0.500  0.72
4 Ce 0.000 0.500 0.000  0.72

The volume comes out at 97 Å³/cell. The calculation puts the magnetization at 6.021 Bohr magnetons per cell. For the calculated density, the calculation gives 9344 kg/m³. As for the energy relative to the lowest polymorph listed for this composition: 0.00 eV per formula unit. For the energy of formation from the pure elements, the calculation gives 28 meV per atom.

# 5
The following is a DFT calculation (PBE) of a relaxed TcRuCl2 crystal.

Cell: 4.351 4.351 4.351 Å, 119.85 119.85 90.25°
Fractional coordinates of all 4 atoms:
1 Ru 0.250 0.750 0.500
2 Tc 0.750 0.250 0.500
3 Cl 0.000 0.000 0.000
4 Cl 0.500 0.500 0.000

The volume comes out at 58 Å³/cell. The calculation puts the magnetization at 0.000 Bohr magnetons per cell. For the calculated density, the calculation gives 7680 kg/m³. As for the energy relative to the lowest polymorph listed for this composition: 4.23 eV per formula unit. As for the raw formation energy: 993 meV per atom.

# 6
The following is a DFT calculation (PBE) of a relaxed NiMo2W crystal.

Cell: 2.691 2.691 8.490 Å, 90.00 90.00 105.66°
Fractional coordinates of all 4 atoms:
1 Ni 0.500 0.500 0.250
2 Mo 0.000 0.000 0.016
3 Mo 0.000 0.000 0.484
4 W 0.500 0.500 0.750

The volume comes out at 59 Å³/cell. The calculation puts the magnetization at 0.000 Bohr magnetons per cell. For the calculated density, the calculation gives 12188 kg/m³. As for the energy relative to the lowest polymorph listed for this composition: 0.00 eV per formula unit. For the energy of formation from the pure elements, the calculation gives 48 meV per atom.

# 7
The following is a DFT calculation (PBE) of a relaxed RbZr3Ni crystal.

Cell: 5.095 5.095 5.095 Å, 90.00 90.00 90.00°
Fractional coordinates of all 5 atoms:
1 Ni 0.000 0.000 0.000
2 Rb 0.500 0.500 0.500
3 Zr 0.000 0.500 0.000
4 Zr 0.000 0.000 0.500
5 Zr 0.500 0.000 0.000

The volume comes out at 132 Å³/cell. The calculation puts the magnetization at 0.000 Bohr magnetons per cell. For the calculated density, the calculation gives 5244 kg/m³. For the energy of formation from the pure elements, the calculation gives 671 meV per atom.

# 8
The following is a DFT calculation (PBE) of a relaxed AgP2Br crystal.

Cell: 3.375 4.071 6.676 Å, 85.27 90.00 90.00°
Fractional coordinates of all 4 atoms:
1 Ag 0.000 0.255 0.506
2 Br 0.500 0.713 0.694
3 P 0.000 0.094 0.152
4 P 0.500 0.438 0.148

The volume comes out at 91 Å³/cell. The calculation puts the magnetization at 0.000 Bohr magnetons per cell. For the calculated density, the calculation gives 4536 kg/m³. As for the energy relative to the lowest polymorph listed for this composition: 0.17 eV per formula unit. As for the raw formation energy: 64 meV per atom.